(1)
VASP calculation (GGA-PBEsol) on a relaxed structure of Ba2LiCd.

Properties
E_form   -0.11 eV/atom

```
4
Lattice="4.140 0.000 0.000 0.000 5.900 0.000 -2.070 -2.950 5.925" Properties=species:S:1:pos:R:3 pbc="T T T"
Cd 0.000 0.000 5.506
Li 2.070 0.000 3.590
Ba 0.000 2.950 2.548
Ba 0.000 0.000 0.206
```


(2)
VASP calculation (GGA-PBEsol) on a relaxed structure of BaLi4Cd.

Properties
E_form   -0.08 eV/atom

```
6
Lattice="-3.312 3.256 3.554 -5.245 1.869 -1.789 -4.862 -2.252 2.344" Properties=species:S:1:pos:R:3 pbc="T T T"
Li -4.985 1.067 1.527
Li -6.688 2.741 3.354
Li -7.682 2.028 0.607
Li -7.485 -0.090 2.732
Cd 0.000 0.000 0.000
Ba -10.065 2.155 3.082
```


(3)
VASP calculation (GGA-PBEsol) on a relaxed structure of BaLi2Cd.

Properties
E_form   -0.07 eV/atom

```
4
Lattice="-0.359 -2.972 2.492 4.043 -2.939 -2.923 1.797 5.007 3.187" Properties=species:S:1:pos:R:3 pbc="T T T"
Li 3.327 -2.119 0.997
Li 2.155 1.214 1.759
Cd 2.022 -1.470 -1.462
Ba -0.180 -1.486 1.246
```


(4)
VASP calculation (GGA-PBEsol) on a relaxed structure of BaLiCd2.

Properties
E_form   -0.25 eV/atom
E above lowest polymorph   0.000 eV/atom

```
4
Lattice="-2.341 -3.634 2.226 0.871 -4.605 -1.293 3.750 -3.055 4.266" Properties=species:S:1:pos:R:3 pbc="T T T"
Cd 2.392 -8.521 4.536
Cd -0.112 -2.774 0.663
Li 0.000 0.000 0.000
Ba 1.140 -5.647 2.599
```


(5)
VASP calculation (GGA-PBEsol) on a relaxed structure of BaLiCd2.

Properties
E_form   -0.15 eV/atom
E above lowest polymorph   0.100 eV/atom

```
4
Lattice="5.464 0.000 0.000 2.732 4.732 0.000 2.732 1.577 4.461" Properties=species:S:1:pos:R:3 pbc="T T T"
Cd 2.732 1.577 1.115
Cd 8.196 4.732 3.346
Ba 5.464 3.155 2.231
Li 0.000 0.000 0.000
```


(6)
VASP calculation (GGA-PBEsol) on a relaxed structure of Ba2LiCd.

Properties
E_form   -0.11 eV/atom

```
4
Lattice="-3.547 2.014 0.195 -2.521 -4.701 2.708 4.291 3.016 4.146" Properties=species:S:1:pos:R:3 pbc="T T T"
Ba -1.771 0.365 6.795
Ba -1.130 1.826 3.356
Li -0.808 -1.776 3.645
Cd -2.880 -1.101 1.753
```


(7)
VASP calculation (GGA-PBEsol) on a relaxed structure of Ba2LiCd.

Properties
E_form   -0.11 eV/atom

```
4
Lattice="-0.364 -1.903 3.545 0.640 -3.542 -1.835 9.026 0.900 1.411" Properties=species:S:1:pos:R:3 pbc="T T T"
Ba 3.043 -2.432 1.309
Ba 8.488 0.847 1.327
Cd 5.021 0.501 0.785
Li 6.287 -2.109 1.816
```


(8)
VASP calculation (GGA-PBEsol) on a relaxed structure of Ba2LiCd.

Properties
E_form   -0.15 eV/atom

```
4
Lattice="-1.306 -2.539 3.113 3.139 -2.688 -0.875 5.091 4.148 5.520" Properties=species:S:1:pos:R:3 pbc="T T T"
Li 3.462 -0.540 3.879
Ba 1.167 0.951 1.265
Ba 3.924 3.197 4.255
Cd 0.916 -2.614 1.119
```


(9)
VASP calculation (GGA-PBEsol) on a relaxed structure of Ba4Li2Cd3P6.

Properties
E_form   -0.79 eV/atom

```
30
Lattice="4.453 0.000 0.000 -2.226 9.854 0.000 0.000 0.000 16.691" Properties=species:S:1:pos:R:3 pbc="T T T"
Cd 2.226 2.960 2.081
Cd 2.226 4.023 12.518
Cd 2.226 2.960 6.264
Cd 0.000 5.831 4.173
Cd 0.000 6.894 10.427
Cd 0.000 6.894 14.610
P 0.000 4.320 1.978
P 0.000 8.742 8.161
P 0.000 4.320 6.368
P 0.000 2.385 12.518
P 2.226 1.112 8.530
P 2.226 1.112 16.507
P 2.226 7.469 4.173
P 0.000 8.485 12.518
P 0.000 8.742 0.184
P 2.226 5.534 14.713
P 2.226 1.369 4.173
P 2.226 5.534 10.323
Li 2.226 6.911 12.518
Li 0.000 8.605 4.173
Li 2.226 1.249 12.518
Li 0.000 2.943 4.173
Ba 2.226 9.536 14.650
Ba 2.226 6.467 7.202
Ba 2.226 9.536 10.387
Ba 0.000 3.387 15.548
Ba 2.226 6.467 1.144
Ba 0.000 0.318 2.041
Ba 0.000 0.318 6.304
Ba 0.000 3.387 9.489
```


(10)
VASP calculation (GGA-PBEsol) on a relaxed structure of BaLi2CdPd.

Properties
E_form   0.88 eV/atom

```
5
Lattice="-5.184 -0.168 -0.706 0.141 -5.598 0.295 -0.764 0.273 5.549" Properties=species:S:1:pos:R:3 pbc="T T T"
Ba 0.000 0.000 0.000
Li -0.382 0.137 2.774
Li 0.071 -2.799 0.148
Cd -2.904 -2.747 2.569
Pd -2.592 -0.084 -0.353
```


(11)
VASP calculation (GGA-PBEsol) on a relaxed structure of Ba2MgCd2.

Properties
E_form   -0.18 eV/atom

```
10
Lattice="-1.349 4.618 -2.102 1.265 -3.019 -7.443 -7.756 -2.419 -0.337" Properties=species:S:1:pos:R:3 pbc="T T T"
Ba -6.183 -1.727 -6.382
Ba -5.714 0.126 -2.612
Ba -1.656 0.907 -3.501
Ba -2.125 -0.946 -7.270
Cd -3.747 -4.153 -6.719
Cd -0.183 -2.193 -4.700
Cd -2.744 -1.285 -1.062
Cd -6.307 -3.245 -3.081
Mg 0.000 0.000 0.000
Mg -3.245 -2.719 -3.890
```


(12)
VASP calculation (GGA-PBEsol) on a relaxed structure of BaMg2Cd.

Properties
E_form   -0.11 eV/atom

```
4
Lattice="-4.917 -0.418 0.072 -2.497 -0.492 -4.229 -1.959 -6.258 -0.996" Properties=species:S:1:pos:R:3 pbc="T T T"
Mg -6.955 -6.251 -3.807
Mg -2.419 -0.916 -1.345
Cd 0.000 0.000 0.000
Ba -4.687 -3.584 -2.576
```


(13)
VASP calculation (GGA-PBEsol) on a relaxed structure of BaMgCd4.

Properties
E_form   -0.17 eV/atom

```
6
Lattice="-5.633 -1.069 -1.842 -3.106 -4.605 2.326 -4.630 1.056 3.702" Properties=species:S:1:pos:R:3 pbc="T T T"
Cd -5.020 -1.733 1.572
Cd -7.326 -1.207 3.416
Cd -6.567 -4.027 2.731
Cd -7.826 -2.266 0.654
Ba 0.000 0.000 0.000
Mg -10.027 -3.463 3.140
```


(14)
VASP calculation (GGA-PBEsol) on a relaxed structure of BaMg2Cd.

Properties
E_form   -0.11 eV/atom

```
4
Lattice="-4.239 2.483 1.014 -4.410 -2.383 -0.193 -2.362 -1.391 5.938" Properties=species:S:1:pos:R:3 pbc="T T T"
Mg -8.624 0.032 1.091
Mg -8.187 -1.163 5.842
Cd -2.838 -0.089 0.759
Ba -5.513 -0.624 3.293
```


(15)
VASP calculation (GGA-PBEsol) on a relaxed structure of BaMg2Cd.

Properties
E_form   -0.12 eV/atom

```
4
Lattice="-2.902 2.788 3.661 -2.821 -2.649 3.824 1.621 0.180 5.190" Properties=species:S:1:pos:R:3 pbc="T T T"
Mg -3.076 0.239 9.506
Mg 0.000 0.000 0.000
Cd -1.025 0.080 3.169
Ba -2.051 0.160 6.338
```


(16)
VASP calculation (GGA-PBEsol) on a relaxed structure of BaMgCdN2.

Properties
Energy   -16.45 eV per cell

```
5
Lattice="4.341 0.000 0.000 0.000 4.341 0.000 0.000 0.000 5.477" Properties=species:S:1:pos:R:3 pbc="T T T"
N 2.170 0.000 0.000
N 0.000 2.170 0.000
Ba 0.000 0.000 2.738
Cd 2.170 2.170 2.738
Mg 0.000 0.000 0.000
```


(17)
VASP calculation (GGA-PBEsol) on a relaxed structure of BaMn2Cd.

Properties
E_form   0.81 eV/atom

```
4
Lattice="-0.985 5.082 0.124 -1.770 2.398 -4.235 -4.891 1.694 -0.163" Properties=species:S:1:pos:R:3 pbc="T T T"
Mn -1.912 2.294 -1.068
Mn 0.000 0.000 0.000
Cd -5.735 6.881 -3.205
Ba -3.823 4.587 -2.137
```


(18)
VASP calculation (GGA-PBEsol) on a relaxed structure of BaMnCd.

Properties
E_form   0.65 eV/atom

```
3
Lattice="-1.763 2.922 3.944 -2.404 -2.252 4.043 2.353 -0.202 4.650" Properties=species:S:1:pos:R:3 pbc="T T T"
Cd -0.454 0.117 3.159
Mn 0.000 0.000 0.000
Ba -0.907 0.234 6.319
```


(19)
VASP calculation (GGA-PBEsol) on a relaxed structure of BaMn2Cd.

Properties
E_form   0.92 eV/atom

```
4
Lattice="-2.239 -1.634 -1.691 0.917 -2.151 -2.254 -0.392 -8.412 5.529" Properties=species:S:1:pos:R:3 pbc="T T T"
Cd 0.000 0.000 0.000
Ba -0.857 -6.098 0.792
Mn -1.284 -9.399 1.429
Mn -0.430 -2.798 0.155
```


(20)
VASP calculation (GGA-PBEsol) on a relaxed structure of BaMn2Cd.

Properties
E_form   0.39 eV/atom

```
4
Lattice="-2.771 -1.918 2.904 -2.154 -3.731 -1.111 2.853 -5.118 2.749" Properties=species:S:1:pos:R:3 pbc="T T T"
Mn -0.699 -8.690 3.816
Mn 2.655 -4.976 2.654
Cd -1.231 -2.178 0.794
Ba -0.980 -5.424 2.298
```


(21)
VASP calculation (GGA-PBEsol) on a relaxed structure of Ba2MnCd.

Properties
E_form   0.27 eV/atom

```
4
Lattice="-1.437 0.131 4.572 -1.036 -4.850 -0.187 6.201 1.141 1.916" Properties=species:S:1:pos:R:3 pbc="T T T"
Ba 1.158 -0.262 0.371
Ba 3.749 -0.944 3.718
Mn 1.005 -2.866 2.911
Cd 2.958 -3.210 1.021
```


(22)
VASP calculation (GGA-PBEsol) on a relaxed structure of BaCdMo2.

Properties
E_form   0.82 eV/atom

```
4
Lattice="3.685 0.000 0.000 0.000 3.685 0.000 0.000 0.000 7.207" Properties=species:S:1:pos:R:3 pbc="T T T"
Mo 0.000 0.000 4.679
Mo 0.000 0.000 2.528
Cd 1.842 1.842 3.604
Ba 1.842 1.842 0.000
```


(23)
VASP calculation (GGA-PBEsol) on a relaxed structure of Ba2CdMoO6.

Properties
Energy   -71.77 eV per cell

```
10
Lattice="-3.784 1.116 4.367 0.493 -2.855 5.122 1.816 2.870 4.806" Properties=species:S:1:pos:R:3 pbc="T T T"
O -1.911 -0.493 8.224
O -1.303 2.137 8.078
O -2.137 0.818 5.870
O -0.172 -1.006 6.217
O 0.662 0.313 8.425
O 0.436 1.624 6.072
Ba -1.106 0.848 10.721
Ba -0.369 0.283 3.574
Mo -0.737 0.566 7.148
Cd 0.000 0.000 0.000
```


(24)
VASP calculation (GGA-PBEsol) on a relaxed structure of BaZrCd2Mo.

Properties
E_form   2.07 eV/atom

```
5
Lattice="-0.905 -4.380 2.417 2.938 1.780 4.326 -4.574 2.167 2.214" Properties=species:S:1:pos:R:3 pbc="T T T"
Ba 0.000 0.000 0.000
Zr -1.271 -0.216 4.479
Cd 1.469 0.890 2.163
Cd -2.287 1.084 1.107
Mo -0.453 -2.190 1.209
```


(25)
VASP calculation (GGA-PBEsol) on a relaxed structure of Ba3CdN.

Properties
Energy   -17.69 eV per cell

```
5
Lattice="-0.870 -5.463 -0.493 5.292 -0.967 1.378 -1.442 -0.254 5.357" Properties=species:S:1:pos:R:3 pbc="T T T"
Cd 1.490 -3.342 3.121
Ba 2.646 -0.484 0.689
Ba -0.435 -2.731 -0.247
Ba -0.721 -0.127 2.678
N 0.000 0.000 0.000
```


(26)
VASP calculation (GGA-PBEsol) on a relaxed structure of BaScCd2N.

Properties
Energy   -12.47 eV per cell

```
5
Lattice="-1.561 -0.132 -5.074 -4.724 -1.903 1.502 -2.316 6.183 0.551" Properties=species:S:1:pos:R:3 pbc="T T T"
Cd -2.362 -0.952 0.751
Cd -0.780 -0.066 -2.537
N -4.300 2.074 -1.510
Sc 0.000 0.000 0.000
Ba -1.158 3.092 0.276
```


(27)
VASP calculation (GGA-PBEsol) on a relaxed structure of Ba2NaCd2.

Properties
E_form   -0.19 eV/atom

```
10
Lattice="4.578 0.000 0.000 0.000 9.112 0.000 0.000 0.000 9.112" Properties=species:S:1:pos:R:3 pbc="T T T"
Ba 2.289 1.530 6.086
Ba 2.289 7.581 3.025
Ba 2.289 3.025 1.530
Ba 2.289 6.086 7.581
Cd 0.000 1.130 3.426
Cd 0.000 5.686 1.130
Cd 0.000 7.982 5.686
Cd 0.000 3.426 7.982
Na 0.000 0.000 0.000
Na 0.000 4.556 4.556
```


It is found that the ρ values, taken in the order of the records, are 4521; 3257; 3785; 5155; 5314; 4512; 4367; 4274; 4926; 3733; 5011; 3921; 6574; 3877; 4351; 4861; 6081; 5043; 6606; 5865; 5054; 7493; 6671; 5879; 5220; 3743; 4566 kg/m³.
It is found that the total magnetization values, taken in the order of the records, are 0.0; 0.0; 0.0; 0.0; 0.0; 0.0; 0.0; 0.0; 0.0; 0.0; 0.0; 0.0; 0.0; 0.0; 0.0; 1.8; 8.0; 4.2; 7.8; 0.1; 3.5; 0.0; 0.0; 1.2; 0.0; 1.8; 0.0 μB per cell.